[1]
Entry from Alexandria: CaVRe2 after structural relaxation (PBE-GGA). Values from VASP.

The structure in Quantum ESPRESSO input format:
```
&SYSTEM
  ibrav = 0, nat = 4, ntyp = 3
/
ATOMIC_SPECIES
Re 186.21 Re.upf
Ca 40.08 Ca.upf
V 50.94 V.upf
ATOMIC_POSITIONS angstrom
Re -2.5870 -0.8505 -0.4496
Re -7.7611 -2.5514 -1.3487
Ca 0.0000 0.0000 0.0000
V -5.1741 -1.7010 -0.8991
CELL_PARAMETERS angstrom
-4.0049 -0.7744 1.9173
-3.7925 0.8075 -2.2979
-2.5507 -3.4350 -1.4177
```

As for the energy relative to the elements: 0.698 eV/atom. As for the space group: Fm-3m (225).

***

[2]
Entry from Alexandria: SiCl4 after structural relaxation (PBE-GGA). Values from VASP.

The structure in Quantum ESPRESSO input format:
```
&SYSTEM
  ibrav = 0, nat = 5, ntyp = 2
/
ATOMIC_SPECIES
Si 28.09 Si.upf
Cl 35.45 Cl.upf
ATOMIC_POSITIONS angstrom
Si -0.6559 -2.7400 2.9946
Cl 0.0000 0.0000 0.0000
Cl 1.2067 -2.7377 1.5229
Cl -2.1072 -2.3427 1.1585
Cl -0.4114 -0.3997 3.3078
CELL_PARAMETERS angstrom
-0.4892 -4.6807 -0.6264
2.9025 -0.7948 3.6722
-3.7252 -0.0046 2.9434
```

Its formation energy (no corrections) is -0.17 eV/atom. As for the space group: Pm-3m (221).

***

[3]
Entry from Alexandria: TiBe3Te after structural relaxation (PBE-GGA). Values from VASP.

The structure in Quantum ESPRESSO input format:
```
&SYSTEM
  ibrav = 0, nat = 5, ntyp = 3
/
ATOMIC_SPECIES
Te 127.60 Te.upf
Be 9.01 Be.upf
Ti 47.87 Ti.upf
ATOMIC_POSITIONS angstrom
Te 0.0000 0.0000 0.0000
Be -0.8059 0.8862 1.9391
Ti -1.7039 -2.0535 2.9093
Be -1.8881 -1.2594 -0.2092
Be 0.9901 -1.6803 1.1794
CELL_PARAMETERS angstrom
-3.7762 -2.5188 -0.4184
1.9802 -3.3606 2.3589
-1.6119 1.7724 3.8781
```

Its formation energy (no corrections) is 1.47 eV/atom. As for the space group: Pm-3m (221).

***

Polymorph energy (0 for the lowest one) values, unit eV per atom, following the record order: 0.000; 1.075; 0.037.